Computed, not measured: a relaxed MgRuRh2 crystal at the PBE-GGA level of DFT.

It has space group Cmm2 (No. 35), with a = 2.855 Å, b = 4.663 Å, c = 8.985 Å, α = 90.00°, β = 90.00° and γ = 90.00°. The distinct sites, in fractional coordinates, are Mg at (0.000, 0.000, 0.000), Ru at (0.000, 0.500, 0.256), Rh at (0.000, 0.000, 0.501) and Rh at (0.000, 0.500, 0.756).

The calculation puts the formation energy at 17.0 kJ per mole of atoms. The calculation puts the total moment at 0.894 μB per formula unit.